Arrangement 1

Density functional theory data (PBE-GGA) for a relaxed structure of Mn2NbCo.

```
data_Mn2NbCo
_space_group_name_H-M_alt 'P 4/m m m'
_space_group_IT_number 123
_space_group_name_Hall '-P 4 2'
_cell_length_a 3.047
_cell_length_b 3.047
_cell_length_c 5.771
_cell_angle_alpha 90.00
_cell_angle_beta 90.00
_cell_angle_gamma 90.00
loop_
_atom_site_label
_atom_site_fract_x
_atom_site_fract_y
_atom_site_fract_z
Mn1 0.000 0.000 0.234
Nb1 0.500 0.500 0.500
Co1 0.500 0.500 0.000
```

Results
As for the total magnetization: 5.406 Bohr magnetons per cell. As for the volume: 13.39 Å³ per atom.



Arrangement 2

Density functional theory data (PBE-GGA) for a relaxed structure of Mn2NbCo.

```
data_Mn2NbCo
_space_group_name_H-M_alt 'P 4/m m m'
_space_group_IT_number 123
_space_group_name_Hall '-P 4 2'
_cell_length_a 3.681
_cell_length_b 3.681
_cell_length_c 3.835
_cell_angle_alpha 90.00
_cell_angle_beta 90.00
_cell_angle_gamma 90.00
loop_
_atom_site_label
_atom_site_fract_x
_atom_site_fract_y
_atom_site_fract_z
Mn1 0.000 0.500 0.000
Nb1 0.000 0.000 0.500
Co1 0.500 0.500 0.500
```

Results
As for the total magnetization: 3.795 Bohr magnetons per cell. As for the volume: 12.99 Å³ per atom.



Here are the energies relative to the best structure, in meV per atom: arrangement 1 0; arrangement 2 6.



Arrangement 1

Density functional theory data (PBE-GGA) for a relaxed structure of TiMnNbCo.

```
data_TiMnNbCo
_space_group_name_H-M_alt 'P 4 m m'
_space_group_IT_number 99
_cell_length_a 3.033
_cell_length_b 3.033
_cell_length_c 5.986
_cell_angle_alpha 90.00
_cell_angle_beta 90.00
_cell_angle_gamma 90.00
loop_
_space_group_symop_operation_xyz
'x,y,z'
'-y,x,z'
'-x,-y,z'
'y,-x,z'
'-x,y,z'
'y,x,z'
'x,-y,z'
'-y,-x,z'
loop_
_atom_site_label
_atom_site_fract_x
_atom_site_fract_y
_atom_site_fract_z
Ti1 0.000 0.000 0.000
Mn1 0.500 0.500 0.242
Nb1 0.000 0.000 0.494
Co1 0.500 0.500 0.757
```

Results
As for the total magnetization: 0.004 Bohr magnetons per cell. As for the volume: 13.76 Å³ per atom.



Arrangement 2

Density functional theory data (PBE-GGA) for a relaxed structure of TiMnNbCo.

```
data_TiMnNbCo
_space_group_name_H-M_alt 'F -4 3 m'
_space_group_IT_number 216
_space_group_name_Hall 'F -4 2 3'
_cell_length_a 6.053
_cell_length_b 6.053
_cell_length_c 6.053
_cell_angle_alpha 90.00
_cell_angle_beta 90.00
_cell_angle_gamma 90.00
loop_
_atom_site_label
_atom_site_fract_x
_atom_site_fract_y
_atom_site_fract_z
Ti1 0.000 0.000 0.000
Mn1 0.250 0.250 0.250
Nb1 0.000 0.000 0.500
Co1 0.250 0.250 0.750
```

Results
As for the total magnetization: 3.621 Bohr magnetons per cell. As for the volume: 13.86 Å³ per atom.



Here are the energies relative to the best structure, in meV per atom: arrangement 1 0; arrangement 2 7.



Arrangement 1

Density functional theory data (PBE-GGA) for a relaxed structure of Mn2CoNi.

```
data_Mn2CoNi
_space_group_name_H-M_alt 'P 4 m m'
_space_group_IT_number 99
_cell_length_a 2.493
_cell_length_b 2.493
_cell_length_c 7.094
_cell_angle_alpha 90.00
_cell_angle_beta 90.00
_cell_angle_gamma 90.00
loop_
_space_group_symop_operation_xyz
'x,y,z'
'-y,x,z'
'-x,-y,z'
'y,-x,z'
'-x,y,z'
'y,x,z'
'x,-y,z'
'-y,-x,z'
loop_
_atom_site_label
_atom_site_fract_x
_atom_site_fract_y
_atom_site_fract_z
Mn1 0.000 0.000 0.000
Mn2 0.500 0.500 0.253
Co1 0.500 0.500 0.761
Ni1 0.000 0.000 0.508
```

Results
As for the total magnetization: 2.012 Bohr magnetons per cell. As for the volume: 11.02 Å³ per atom.



Arrangement 2

Density functional theory data (PBE-GGA) for a relaxed structure of Mn2CoNi.

```
data_Mn2CoNi
_space_group_name_H-M_alt 'C 1 2/m 1'
_space_group_IT_number 12
_cell_length_a 8.280
_cell_length_b 2.458
_cell_length_c 4.249
_cell_angle_alpha 90.00
_cell_angle_beta 99.92
_cell_angle_gamma 90.00
loop_
_space_group_symop_operation_xyz
'x,y,z'
'-x,-y,-z'
'-x,y,-z'
'x,-y,z'
'x+1/2,y+1/2,z'
'-x+1/2,-y+1/2,-z'
'-x+1/2,y+1/2,-z'
'x+1/2,-y+1/2,z'
loop_
_atom_site_label
_atom_site_fract_x
_atom_site_fract_y
_atom_site_fract_z
Mn1 0.247 0.000 0.245
Co1 0.000 0.500 0.000
Ni1 0.000 0.000 0.500
```

Results
As for the total magnetization: 1.035 Bohr magnetons per cell. As for the volume: 10.65 Å³ per atom.



Here are the energies relative to the best structure, in meV per atom: arrangement 1 0; arrangement 2 54.



Arrangement 1

Density functional theory data (PBE-GGA) for a relaxed structure of Mn2CoNi.

```
data_Mn2CoNi
_space_group_name_H-M_alt 'P 4/m m m'
_space_group_IT_number 123
_space_group_name_Hall '-P 4 2'
_cell_length_a 2.482
_cell_length_b 2.482
_cell_length_c 7.080
_cell_angle_alpha 90.00
_cell_angle_beta 90.00
_cell_angle_gamma 90.00
loop_
_atom_site_label
_atom_site_fract_x
_atom_site_fract_y
_atom_site_fract_z
Mn1 0.000 0.000 0.245
Co1 0.500 0.500 0.000
Ni1 0.500 0.500 0.500
```

Results
As for the total magnetization: 3.390 Bohr magnetons per cell. As for the volume: 10.90 Å³ per atom.



Arrangement 2

Density functional theory data (PBE-GGA) for a relaxed structure of Mn2CoNi.

```
data_Mn2CoNi
_space_group_name_H-M_alt 'C m m m'
_space_group_IT_number 65
_space_group_name_Hall '-C 2 2'
_cell_length_a 4.951
_cell_length_b 7.052
_cell_length_c 2.483
_cell_angle_alpha 90.00
_cell_angle_beta 90.00
_cell_angle_gamma 90.00
loop_
_atom_site_label
_atom_site_fract_x
_atom_site_fract_y
_atom_site_fract_z
Mn1 0.250 0.250 0.000
Co1 0.000 0.000 0.500
Ni1 0.000 0.500 0.500
```

Results
As for the total magnetization: 6.510 Bohr magnetons per cell. As for the volume: 10.84 Å³ per atom.



Arrangement 3

Density functional theory data (PBE-GGA) for a relaxed structure of Mn2CoNi.

```
data_Mn2CoNi
_space_group_name_H-M_alt 'P 4/m m m'
_space_group_IT_number 123
_space_group_name_Hall '-P 4 2'
_cell_length_a 3.490
_cell_length_b 3.490
_cell_length_c 3.537
_cell_angle_alpha 90.00
_cell_angle_beta 90.00
_cell_angle_gamma 90.00
loop_
_atom_site_label
_atom_site_fract_x
_atom_site_fract_y
_atom_site_fract_z
Mn1 0.000 0.500 0.000
Co1 0.000 0.000 0.500
Ni1 0.500 0.500 0.500
```

Results
As for the total magnetization: 2.911 Bohr magnetons per cell. As for the volume: 10.77 Å³ per atom.



Arrangement 4

Density functional theory data (PBE-GGA) for a relaxed structure of Mn2CoNi.

```
data_Mn2CoNi
_space_group_name_H-M_alt 'P 4/m m m'
_space_group_IT_number 123
_space_group_name_Hall '-P 4 2'
_cell_length_a 2.902
_cell_length_b 2.902
_cell_length_c 5.750
_cell_angle_alpha 90.00
_cell_angle_beta 90.00
_cell_angle_gamma 90.00
loop_
_atom_site_label
_atom_site_fract_x
_atom_site_fract_y
_atom_site_fract_z
Mn1 0.000 0.000 0.246
Co1 0.500 0.500 0.000
Ni1 0.500 0.500 0.500
```

Results
As for the total magnetization: 8.747 Bohr magnetons per cell. As for the volume: 12.11 Å³ per atom.



Here are the energies relative to the best structure, in meV per atom: arrangement 1 80; arrangement 2 88; arrangement 3 93; arrangement 4 0.



Arrangement 1

Density functional theory data (PBE-GGA) for a relaxed structure of Mn3CoNi.

```
data_Mn3CoNi
_space_group_name_H-M_alt 'P m -3 m'
_space_group_IT_number 221
_space_group_name_Hall '-P 4 2 3'
_cell_length_a 4.142
_cell_length_b 4.142
_cell_length_c 4.142
_cell_angle_alpha 90.00
_cell_angle_beta 90.00
_cell_angle_gamma 90.00
loop_
_atom_site_label
_atom_site_fract_x
_atom_site_fract_y
_atom_site_fract_z
Mn1 0.000 0.000 0.500
Co1 0.500 0.500 0.500
Ni1 0.000 0.000 0.000
```

Results
As for the total magnetization: 2.215 Bohr magnetons per cell. As for the volume: 14.21 Å³ per atom.



Arrangement 2

Density functional theory data (PBE-GGA) for a relaxed structure of Mn3CoNi.

```
data_Mn3CoNi
_space_group_name_H-M_alt 'P m -3 m'
_space_group_IT_number 221
_space_group_name_Hall '-P 4 2 3'
_cell_length_a 4.374
_cell_length_b 4.374
_cell_length_c 4.374
_cell_angle_alpha 90.00
_cell_angle_beta 90.00
_cell_angle_gamma 90.00
loop_
_atom_site_label
_atom_site_fract_x
_atom_site_fract_y
_atom_site_fract_z
Mn1 0.000 0.000 0.500
Co1 0.000 0.000 0.000
Ni1 0.500 0.500 0.500
```

Results
As for the total magnetization: 12.502 Bohr magnetons per cell. As for the volume: 16.74 Å³ per atom.



Here are the energies relative to the best structure, in meV per atom: arrangement 1 611; arrangement 2 0.



Arrangement 1

Density functional theory data (PBE-GGA) for a relaxed structure of MnCoNi3.

```
data_MnCoNi3
_space_group_name_H-M_alt 'P m -3 m'
_space_group_IT_number 221
_space_group_name_Hall '-P 4 2 3'
_cell_length_a 4.250
_cell_length_b 4.250
_cell_length_c 4.250
_cell_angle_alpha 90.00
_cell_angle_beta 90.00
_cell_angle_gamma 90.00
loop_
_atom_site_label
_atom_site_fract_x
_atom_site_fract_y
_atom_site_fract_z
Mn1 0.000 0.000 0.000
Co1 0.500 0.500 0.500
Ni1 0.000 0.500 0.500
```

Results
As for the total magnetization: 8.314 Bohr magnetons per cell. As for the volume: 15.35 Å³ per atom.



Arrangement 2

Density functional theory data (PBE-GGA) for a relaxed structure of MnCoNi3.

```
data_MnCoNi3
_space_group_name_H-M_alt 'P 63/m m c'
_space_group_IT_number 194
_space_group_name_Hall '-P 6c 2c'
_cell_length_a 5.7913
_cell_length_b 5.7913
_cell_length_c 4.2666
_cell_angle_alpha 90.00
_cell_angle_beta 90.00
_cell_angle_gamma 120.00
loop_
_atom_site_label
_atom_site_fract_x
_atom_site_fract_y
_atom_site_fract_z
Mn1 0.3333 0.6667 0.2500
Co1 0.0000 0.0000 0.0000
Ni1 0.2023 0.4046 0.7500
```

Results
As for the total magnetization: 5.009 Bohr magnetons per cell. As for the volume: 12.39 Å³ per atom.



Here are the energies relative to the best structure, in meV per atom: arrangement 1 196; arrangement 2 0.



Arrangement 1

Density functional theory data (PBE-GGA) for a relaxed structure of MnCoNi6.

```
data_MnCoNi6
_space_group_name_H-M_alt 'C m m m'
_space_group_IT_number 65
_space_group_name_Hall '-C 2 2'
_cell_length_a 7.095
_cell_length_b 10.034
_cell_length_c 10.041
_cell_angle_alpha 90.00
_cell_angle_beta 90.00
_cell_angle_gamma 90.00
loop_
_atom_site_label
_atom_site_fract_x
_atom_site_fract_y
_atom_site_fract_z
Mn1 0.000 0.000 0.250
Mn2 0.000 0.248 0.000
Co1 0.000 0.246 0.500
Co2 0.000 0.500 0.250
Ni1 0.000 0.000 0.000
Ni2 0.000 0.000 0.500
Ni3 0.000 0.252 0.254
Ni4 0.000 0.500 0.000
Ni5 0.000 0.500 0.500
Ni6 0.247 0.374 0.376
Ni7 0.247 0.376 0.127
```

Results
As for the total magnetization: 72.809 Bohr magnetons per cell. As for the volume: 11.17 Å³ per atom.



Arrangement 2

Density functional theory data (PBE-GGA) for a relaxed structure of MnCoNi6.

```
data_MnCoNi6
_space_group_name_H-M_alt 'C 1 2/m 1'
_space_group_IT_number 12
_cell_length_a 7.066
_cell_length_b 4.707
_cell_length_c 6.399
_cell_angle_alpha 90.00
_cell_angle_beta 108.51
_cell_angle_gamma 90.00
loop_
_space_group_symop_operation_xyz
'x,y,z'
'-x,-y,-z'
'-x,y,-z'
'x,-y,z'
'x+1/2,y+1/2,z'
'-x+1/2,-y+1/2,-z'
'-x+1/2,y+1/2,-z'
'x+1/2,-y+1/2,z'
loop_
_atom_site_label
_atom_site_fract_x
_atom_site_fract_y
_atom_site_fract_z
Mn1 0.000 0.000 0.000
Co1 0.000 0.500 0.500
Ni1 0.138 0.000 0.432
Ni2 0.200 0.241 0.800
```

Results
As for the total magnetization: 17.067 Bohr magnetons per cell. As for the volume: 12.61 Å³ per atom.



Here are the energies relative to the best structure, in meV per atom: arrangement 1 0; arrangement 2 348.



Arrangement 1

Density functional theory data (PBE-GGA) for a relaxed structure of NpMnCo2.

```
data_NpMnCo2
_space_group_name_H-M_alt 'R -3 m'
_space_group_IT_number 166
_space_group_name_Hall '-R 3 2"'
_cell_length_a 4.3339
_cell_length_b 4.3339
_cell_length_c 10.6878
_cell_angle_alpha 90.00
_cell_angle_beta 90.00
_cell_angle_gamma 120.00
loop_
_atom_site_label
_atom_site_fract_x
_atom_site_fract_y
_atom_site_fract_z
Np1 0.0000 0.0000 0.0000
Mn1 0.0000 0.0000 0.5000
Co1 0.0000 0.0000 0.2561
```

Results
As for the total magnetization: 4.660 Bohr magnetons per cell. As for the volume: 14.49 Å³ per atom.



Arrangement 2

Density functional theory data (PBE-GGA) for a relaxed structure of NpMnCo2.

```
data_NpMnCo2
_space_group_name_H-M_alt 'P 4/m m m'
_space_group_IT_number 123
_space_group_name_Hall '-P 4 2'
_cell_length_a 3.268
_cell_length_b 3.268
_cell_length_c 5.390
_cell_angle_alpha 90.00
_cell_angle_beta 90.00
_cell_angle_gamma 90.00
loop_
_atom_site_label
_atom_site_fract_x
_atom_site_fract_y
_atom_site_fract_z
Np1 0.000 0.000 0.000
Mn1 0.000 0.000 0.500
Co1 0.500 0.500 0.265
```

Results
As for the total magnetization: 1.887 Bohr magnetons per cell. As for the volume: 14.39 Å³ per atom.



Arrangement 3

Density functional theory data (PBE-GGA) for a relaxed structure of NpMnCo2.

```
data_NpMnCo2
_space_group_name_H-M_alt 'P 4/m m m'
_space_group_IT_number 123
_space_group_name_Hall '-P 4 2'
_cell_length_a 3.837
_cell_length_b 3.837
_cell_length_c 3.726
_cell_angle_alpha 90.00
_cell_angle_beta 90.00
_cell_angle_gamma 90.00
loop_
_atom_site_label
_atom_site_fract_x
_atom_site_fract_y
_atom_site_fract_z
Np1 0.000 0.000 0.000
Mn1 0.500 0.500 0.000
Co1 0.000 0.500 0.500
```

Results
As for the total magnetization: 1.491 Bohr magnetons per cell. As for the volume: 13.71 Å³ per atom.



Here are the energies relative to the best structure, in meV per atom: arrangement 1 149; arrangement 2 210; arrangement 3 0.